Entry 1:
A plane-wave DFT calculation with PBE-GGA was carried out for a geometry-optimized TiGeIN2 structure.

Computed properties:
Space group: P4/mmm
Calculated volume: 91.3 Å³/cell
Total DFT energy (no corrections): -28.0 eV per cell
Energy above the most stable polymorph in this dataset: 0.0000 eV/atom

Lattice parameters (Å, degrees): 4.0296 4.0296 5.6237 90.00 90.00 90.00
Last column: nearest neighbours and their distance in Å.
Sites, in units of the cell vectors:
Ti 0.0000 0.0000 0.0000  4 N 2.01
Ge 0.5000 0.5000 0.5000  4 I 2.85
I 0.0000 0.0000 0.5000  2 Ti 2.81, 4 Ge 2.85
N 0.0000 0.5000 0.0000  2 Ti 2.01
N 0.5000 0.0000 0.0000  2 Ti 2.01

Entry 2:
A plane-wave DFT calculation with PBE-GGA was carried out for a geometry-optimized Ti2GeIN structure.

Computed properties:
Space group: P4/mmm
Calculated volume: 131.4 Å³/cell
Total DFT energy (no corrections): -19.1 eV per cell

Lattice parameters (Å, degrees): 4.9822 4.9822 5.2927 90.00 90.00 90.00
Last column: nearest neighbours and their distance in Å.
Sites, in units of the cell vectors:
Ti 0.0000 0.5000 0.0000  2 I 2.49
Ti 0.5000 0.0000 0.0000  2 I 2.49
Ge 0.0000 0.0000 0.5000  2 I 2.65
I 0.0000 0.0000 0.0000  4 Ti 2.49, 2 Ge 2.65
N 0.5000 0.5000 0.5000  4 Ge 3.52, 8 Ti 3.63

Entry 3:
A plane-wave DFT calculation with PBE-GGA was carried out for a geometry-optimized TiGeIN2 structure.

Computed properties:
Space group: P4/mmm
Calculated volume: 86.3 Å³/cell
Total DFT energy (no corrections): -24.4 eV per cell
Energy above the most stable polymorph in this dataset: 0.7232 eV/atom

Lattice parameters (Å, degrees): 3.8491 3.8491 5.8248 90.00 90.00 90.00
Last column: nearest neighbours and their distance in Å.
Sites, in units of the cell vectors:
Ti 0.0000 0.0000 0.0000  4 I 2.72
Ge 0.5000 0.5000 0.5000  4 N 1.92
I 0.5000 0.5000 0.0000  4 Ti 2.72, 2 Ge 2.91
N 0.0000 0.5000 0.5000  2 Ge 1.92
N 0.5000 0.0000 0.5000  2 Ge 1.92

Entry 4:
A plane-wave DFT calculation with PBE-GGA was carried out for a geometry-optimized VGeIN2 structure.

Computed properties:
Space group: P4/mmm
Calculated volume: 84.6 Å³/cell
Total DFT energy (no corrections): -28.3 eV per cell
Energy above the most stable polymorph in this dataset: 0.0000 eV/atom

Lattice parameters (Å, degrees): 3.9371 3.9371 5.4600 90.00 90.00 90.00
Last column: nearest neighbours and their distance in Å.
Sites, in units of the cell vectors:
V 0.0000 0.0000 0.0000  4 N 1.97
Ge 0.5000 0.5000 0.5000  4 I 2.78
I 0.0000 0.0000 0.5000  2 V 2.73, 4 Ge 2.78
N 0.0000 0.5000 0.0000  2 V 1.97
N 0.5000 0.0000 0.0000  2 V 1.97

Which value of calculated volume does entry 2 give?
131.4 Å³/cell